Entry 1:
A geometry-optimized HoU2P3 structure. Source: Alexandria, functional GGA-PBE. Values from VASP.

```
&SYSTEM
  ibrav = 0, nat = 24, ntyp = 3
/
ATOMIC_SPECIES
Ho 164.93 Ho.upf
U 238.03 U.upf
P 30.97 P.upf
CELL_PARAMETERS angstrom
7.884 0.000 0.000
0.000 5.579 0.000
0.000 0.000 11.866
ATOMIC_POSITIONS angstrom
Ho 0.979 1.395 0.972
Ho 2.963 4.185 6.906
Ho 4.921 1.395 4.961
Ho 6.905 4.185 10.894
U 0.974 1.395 4.942
U 0.983 1.395 8.916
U 2.959 4.185 2.983
U 2.968 4.185 10.875
U 4.916 1.395 0.991
U 4.925 1.395 8.883
U 6.901 4.185 2.950
U 6.910 4.185 6.924
P 0.978 4.185 4.933
P 0.991 4.185 8.912
P 1.011 4.185 1.005
P 2.931 1.395 6.938
P 2.950 1.395 2.979
P 2.964 1.395 10.866
P 4.920 4.185 1.000
P 4.933 4.185 8.887
P 4.953 4.185 4.928
P 6.873 1.395 10.861
P 6.892 1.395 2.954
P 6.906 1.395 6.933
```

Properties
Density of states at the Fermi level: 44.97 states/eV per cell
ΔH_f (0 K): -1.1763 eV per atom
Final energy: -8.407 eV per atom

---

Entry 2:
A geometry-optimized NpSiPt2 structure. Source: Alexandria, functional GGA-PBE. Values from VASP.

```
&SYSTEM
  ibrav = 0, nat = 4, ntyp = 3
/
ATOMIC_SPECIES
Np 237.00 Np.upf
Si 28.09 Si.upf
Pt 195.08 Pt.upf
CELL_PARAMETERS angstrom
2.782 -3.505 0.000
2.782 3.505 0.000
0.000 0.000 3.939
ATOMIC_POSITIONS angstrom
Np 0.000 0.000 0.000
Si 2.782 0.000 0.000
Pt 2.782 1.455 1.970
Pt 2.782 -1.455 1.970
```

Properties
Density of states at the Fermi level: 8.12 states/eV per cell
Final energy: -7.967 eV per atom

---

Entry 3:
A geometry-optimized Nd3Tm2Tl3 structure. Source: Alexandria, functional GGA-PBE. Values from VASP.

```
&SYSTEM
  ibrav = 0, nat = 8, ntyp = 3
/
ATOMIC_SPECIES
Nd 144.24 Nd.upf
Tm 168.93 Tm.upf
Tl 204.38 Tl.upf
CELL_PARAMETERS angstrom
-2.214 2.537 10.588
2.214 -2.537 10.588
2.214 2.537 -10.588
ATOMIC_POSITIONS angstrom
Nd 0.000 0.000 0.000
Nd 2.214 0.000 8.028
Nd 0.000 2.537 2.560
Tm 0.000 0.000 5.033
Tm 0.000 0.000 16.143
Tl 2.214 0.000 2.795
Tl 0.000 0.000 10.588
Tl 0.000 2.537 7.793
```

Properties
Density of states at the Fermi level: 8.80 states/eV per cell
ΔH_f (0 K): -0.2625 eV per atom
Final energy: -4.056 eV per atom

---

Entry 4:
A geometry-optimized HfTa4Ir5 structure. Source: Alexandria, functional GGA-PBE. Values from VASP.

```
&SYSTEM
  ibrav = 0, nat = 10, ntyp = 3
/
ATOMIC_SPECIES
Hf 178.49 Hf.upf
Ta 180.95 Ta.upf
Ir 192.22 Ir.upf
CELL_PARAMETERS angstrom
2.935 0.000 0.000
0.000 2.935 0.000
0.000 0.000 19.003
ATOMIC_POSITIONS angstrom
Hf 0.000 0.000 0.000
Ta 0.000 0.000 3.810
Ta 0.000 0.000 7.604
Ta 0.000 0.000 11.399
Ta 0.000 0.000 15.193
Ir 1.468 1.468 1.935
Ir 1.468 1.468 5.700
Ir 1.468 1.468 9.502
Ir 1.468 1.468 13.303
Ir 1.468 1.468 17.069
```

Properties
Density of states at the Fermi level: 6.59 states/eV per cell
ΔH_f (0 K): -0.6280 eV per atom
Final energy: -10.795 eV per atom

---

Entry 5:
A geometry-optimized BaMg2Al structure. Source: Alexandria, functional GGA-PBE. Values from VASP.

```
&SYSTEM
  ibrav = 0, nat = 4, ntyp = 3
/
ATOMIC_SPECIES
Ba 137.33 Ba.upf
Mg 24.30 Mg.upf
Al 26.98 Al.upf
CELL_PARAMETERS angstrom
3.445 -4.950 0.000
3.445 4.950 0.000
0.000 0.000 3.506
ATOMIC_POSITIONS angstrom
Ba 0.000 0.000 0.000
Mg 1.723 2.475 1.753
Mg 1.723 -2.475 1.753
Al 3.445 0.000 0.000
```

Properties
Density of states at the Fermi level: 3.80 states/eV per cell
ΔH_f (0 K): 0.2548 eV per atom
Final energy: -1.959 eV per atom

---

Entry 6:
A geometry-optimized SnW3Cl structure. Source: Alexandria, functional GGA-PBE. Values from VASP.

```
&SYSTEM
  ibrav = 0, nat = 5, ntyp = 3
/
ATOMIC_SPECIES
Sn 118.71 Sn.upf
W 183.84 W.upf
Cl 35.45 Cl.upf
CELL_PARAMETERS angstrom
4.466 0.000 0.000
0.000 4.466 0.000
0.000 0.000 4.466
ATOMIC_POSITIONS angstrom
Sn 0.000 0.000 0.000
W 0.000 2.233 2.233
W 2.233 0.000 2.233
W 2.233 2.233 0.000
Cl 2.233 2.233 2.233
```

Properties
Density of states at the Fermi level: 4.98 states/eV per cell
Energy above the lowest structure with this stoichiometry: 0 kJ/mol of formula units
Final energy: -7.395 eV per atom

---

- What is the density of states at the Fermi level in the fourth record?
  6.59 states/eV per cell